A plane-wave DFT calculation with PBE-GGA was carried out for crystalline SmThAsP at its relaxed geometry.

Properties
volume: 25.80 Å³/atom
total moment: 0.00 Bohr magnetons per cell
symmetry: P4/mmm (123)
VASP energy: -28.33 eV per formula unit
density of states at the Fermi level: 1.2 states/eV/cell

```
SmThAsP
1.0
4.1695 0.0000 0.0000
0.0000 4.1622 0.2464
0.0000 -0.3514 5.9251
Sm Th As P
1 1 1 1
Cartesian
2.0847 1.5968 0.6446
0.0000 3.5028 3.7297
0.0000 3.6779 0.7669
2.0847 1.4217 3.6070
```